[1]
This record from the Open Quantum Materials Database describes crystalline ZnCdCoB at its relaxed geometry. The functional is PBE.

Cell: 4.178 4.178 4.178 Å, 60.00 60.00 60.00°
Fractional positions:
Zn 0.000 0.000 0.000
Cd 0.750 0.750 0.750
Co 0.500 0.500 0.500
B 0.250 0.250 0.250

Properties
The total magnetization comes out at 0.46 μB per cell. The calculation puts the energy above the lowest structure with this stoichiometry at 74 meV/atom. The calculation puts the volume at 12.90 Å³/atom. As for the space group: F-43m, No. 216.

---

[2]
This record from the Open Quantum Materials Database describes crystalline ZnCdCoB at its relaxed geometry. The functional is PBE.

Cell: 4.155 4.155 4.155 Å, 60.00 60.00 60.00°
Fractional positions:
Zn 0.000 0.000 0.000
Cd 0.250 0.250 0.250
Co 0.750 0.750 0.750
B 0.500 0.500 0.500

Properties
The total magnetization comes out at 0.24 μB per cell. The calculation puts the energy above the lowest structure with this stoichiometry at 0 meV/atom. The calculation puts the volume at 12.68 Å³/atom. As for the space group: F-43m, No. 216.

---

[3]
This record from the Open Quantum Materials Database describes crystalline CsCdB at its relaxed geometry. The functional is PBE.

Cell: 5.426 5.426 5.426 Å, 60.00 60.00 60.00°
Fractional positions:
Cs 0.000 0.000 0.000
Cd 0.750 0.750 0.750
B 0.500 0.500 0.500

Properties
The calculation puts the energy above the lowest structure with this stoichiometry at 221 meV/atom. The calculation puts the volume at 37.66 Å³/atom. As for the space group: F-43m, No. 216.

---

[4]
This record from the Open Quantum Materials Database describes crystalline CsCdB at its relaxed geometry. The functional is PBE.

Cell: 5.157 5.157 5.157 Å, 60.00 60.00 60.00°
Fractional positions:
Cs 0.000 0.000 0.000
Cd 0.500 0.500 0.500
B 0.750 0.750 0.750

Properties
The calculation puts the energy above the lowest structure with this stoichiometry at 0 meV/atom. The calculation puts the volume at 32.32 Å³/atom. As for the space group: F-43m, No. 216.

---

[5]
This record from the Open Quantum Materials Database describes crystalline Cs2Cd3B16O28 at its relaxed geometry. The functional is PBE.

Cell: 11.399 11.399 13.400 Å, 91.55 91.55 39.26°
Fractional positions:
Cs 0.240 0.250 0.091
Cs 0.250 0.240 0.591
Cs 0.750 0.760 0.409
Cs 0.760 0.750 0.909
Cd 0.239 0.760 0.102
Cd 0.240 0.761 0.398
Cd 0.260 0.740 0.750
Cd 0.740 0.260 0.250
Cd 0.760 0.239 0.602
Cd 0.761 0.240 0.898
B 0.001 0.841 0.911
B 0.009 0.819 0.578
B 0.020 0.174 0.761
B 0.132 0.243 0.350
B 0.159 0.999 0.589
B 0.174 0.020 0.261
B 0.181 0.991 0.922
B 0.243 0.132 0.850
B 0.277 0.341 0.341
B 0.324 0.483 0.247
B 0.325 0.487 0.912
B 0.341 0.277 0.841
B 0.352 0.510 0.576
B 0.483 0.324 0.747
B 0.487 0.325 0.412
B 0.490 0.648 0.924
B 0.510 0.352 0.076
B 0.513 0.675 0.588
B 0.517 0.676 0.253
B 0.648 0.490 0.424
B 0.659 0.723 0.159
B 0.675 0.513 0.088
B 0.676 0.517 0.753
B 0.723 0.659 0.659
B 0.757 0.868 0.150
B 0.819 0.009 0.078
B 0.826 0.980 0.739
B 0.841 0.001 0.411
B 0.868 0.757 0.650
B 0.980 0.826 0.239
B 0.991 0.181 0.422
B 0.999 0.159 0.089
O 0.013 0.109 0.322
O 0.017 0.125 0.988
O 0.020 0.144 0.652
O 0.027 0.279 0.423
O 0.109 0.013 0.822
O 0.118 0.211 0.774
O 0.125 0.017 0.488
O 0.144 0.020 0.152
O 0.155 0.345 0.358
O 0.163 0.676 0.872
O 0.175 0.671 0.210
O 0.199 0.688 0.541
O 0.211 0.118 0.274
O 0.265 0.408 0.253
O 0.279 0.027 0.923
O 0.280 0.396 0.917
O 0.312 0.801 0.959
O 0.324 0.837 0.628
O 0.329 0.825 0.290
O 0.345 0.155 0.858
O 0.363 0.487 0.677
O 0.368 0.495 0.015
O 0.391 0.478 0.345
O 0.396 0.280 0.417
O 0.408 0.265 0.753
O 0.478 0.391 0.845
O 0.487 0.363 0.177
O 0.495 0.368 0.515
O 0.505 0.632 0.485
O 0.513 0.637 0.823
O 0.522 0.609 0.155
O 0.592 0.735 0.247
O 0.604 0.720 0.583
O 0.609 0.522 0.655
O 0.632 0.505 0.985
O 0.637 0.513 0.323
O 0.655 0.845 0.142
O 0.671 0.175 0.710
O 0.676 0.163 0.372
O 0.688 0.199 0.041
O 0.720 0.604 0.083
O 0.721 0.973 0.077
O 0.735 0.592 0.747
O 0.789 0.882 0.726
O 0.801 0.312 0.459
O 0.825 0.329 0.790
O 0.837 0.324 0.128
O 0.845 0.655 0.642
O 0.856 0.980 0.848
O 0.875 0.983 0.512
O 0.882 0.789 0.226
O 0.891 0.987 0.178
O 0.973 0.721 0.577
O 0.980 0.856 0.348
O 0.983 0.875 0.012
O 0.987 0.891 0.678

Properties
The value obtained for the energy is -723.429 eV per cell. The calculation puts the volume at 11.24 Å³/atom. As for the space group: C2/c, No. 15.

---

[6]
This record from the Open Quantum Materials Database describes crystalline CdCuB at its relaxed geometry. The functional is PBE.

Cell: 4.003 4.003 4.003 Å, 60.00 60.00 60.00°
Fractional positions:
Cd 0.000 0.000 0.000
Cu 0.750 0.750 0.750
B 0.500 0.500 0.500

Properties
The calculation puts the energy above the lowest structure with this stoichiometry at 0 meV/atom. The calculation puts the volume at 15.12 Å³/atom. As for the space group: F-43m, No. 216.

---

[7]
This record from the Open Quantum Materials Database describes crystalline CdCuB2 at its relaxed geometry. The functional is PBE.

Cell: 4.119 4.119 4.119 Å, 60.00 60.00 60.00°
Fractional positions:
Cd 0.000 0.000 0.000
Cu 0.750 0.750 0.750
B 0.250 0.250 0.250
B 0.500 0.500 0.500

Properties
The value obtained for the energy is -11.802 eV per cell. The calculation puts the volume at 12.35 Å³/atom. As for the space group: F-43m, No. 216.

---

[8]
This record from the Open Quantum Materials Database describes crystalline CdFeCuB at its relaxed geometry. The functional is PBE.

Cell: 4.152 4.152 4.152 Å, 60.00 60.00 60.00°
Fractional positions:
Cd 0.000 0.000 0.000
Fe 0.750 0.750 0.750
Cu 0.250 0.250 0.250
B 0.500 0.500 0.500

Properties
The total magnetization comes out at 2.21 μB per cell. The calculation puts the energy above the lowest structure with this stoichiometry at 0 meV/atom. The calculation puts the volume at 12.65 Å³/atom. As for the space group: F-43m, No. 216.